(1)
# SnGePCl2

A geometry-optimized SnGePCl2 structure (PBE, Alexandria).

Cell and atoms, written as POSCAR:
```
SnGePCl2
1.0
4.910 0.000 0.000
0.000 4.910 0.000
0.000 0.000 5.062
Cl Ge P Sn
2 1 1 1
Direct
0.000 0.500 0.000
0.500 0.000 0.000
0.000 0.000 0.000
0.000 0.000 0.500
0.500 0.500 0.500
```

Values from the calculation:
* V: 24.413 Å³ per atom
* E_form (uncorrected): -1 kJ/mol of atoms

***

(2)
# SrGeP2Cl

A geometry-optimized SrGeP2Cl structure (PBE, Alexandria).

Cell and atoms, written as POSCAR:
```
SrGeP2Cl
1.0
-3.312 1.264 3.110
-1.436 -4.483 0.293
3.516 -0.859 4.093
P Sr Cl Ge
2 1 1 1
Direct
0.000 0.500 0.000
0.500 0.000 0.000
0.500 0.500 0.500
0.000 0.000 0.500
0.000 0.000 0.000
```

Values from the calculation:
* V: 24.305 Å³ per atom
* E_form (uncorrected): -35 kJ/mol of atoms

***

(3)
# SrGeP2Cl

A geometry-optimized SrGeP2Cl structure (PBE, Alexandria).

Cell and atoms, written as POSCAR:
```
SrGeP2Cl
1.0
-4.596 3.094 1.084
-3.057 -3.370 -3.342
-1.114 -3.111 4.155
P Cl Sr Ge
2 1 1 1
Direct
0.500 0.000 0.000
0.000 0.500 0.000
0.000 0.000 0.500
0.000 0.000 0.000
0.500 0.500 0.500
```

Values from the calculation:
* V: 33.836 Å³ per atom
* E_form (uncorrected): 64 kJ/mol of atoms

***

(4)
# TaGePCl2

A geometry-optimized TaGePCl2 structure (PBE, Alexandria).

Cell and atoms, written as POSCAR:
```
TaGePCl2
1.0
4.764 0.000 0.000
0.000 4.764 0.000
0.000 0.000 5.032
Cl Ta Ge P
2 1 1 1
Direct
0.000 0.500 0.000
0.500 0.000 0.000
0.000 0.000 0.000
0.500 0.500 0.500
0.000 0.000 0.500
```

Values from the calculation:
* V: 22.844 Å³ per atom
* E_form (uncorrected): 7 kJ/mol of atoms

***

(5)
# TaGePCl2

A geometry-optimized TaGePCl2 structure (PBE, Alexandria).

Cell and atoms, written as POSCAR:
```
TaGePCl2
1.0
-2.906 -3.354 -1.553
2.055 -3.108 2.868
-3.284 1.169 3.620
Cl P Ta Ge
2 1 1 1
Direct
0.500 0.000 0.000
0.000 0.500 0.000
0.000 0.000 0.500
0.500 0.500 0.500
0.000 0.000 0.000
```

Values from the calculation:
* V: 22.220 Å³ per atom
* E_form (uncorrected): 84 kJ/mol of atoms

***

(6)
# TcGeP2Cl

A geometry-optimized TcGeP2Cl structure (PBE, Alexandria).

Cell and atoms, written as POSCAR:
```
TcGeP2Cl
1.0
-2.664 3.920 0.146
-0.052 -0.212 4.737
3.902 2.646 0.161
Cl Tc P Ge
1 1 2 1
Direct
0.000 0.000 0.500
0.500 0.500 0.500
0.000 0.500 0.000
0.500 0.000 0.000
0.000 0.000 0.000
```

Values from the calculation:
* V: 21.211 Å³ per atom
* E_form (uncorrected): 109 kJ/mol of atoms

***

(7)
# TcGeP2Cl

A geometry-optimized TcGeP2Cl structure (PBE, Alexandria).

Cell and atoms, written as POSCAR:
```
TcGeP2Cl
1.0
-0.744 3.611 2.672
-3.371 1.341 -2.751
-3.332 -2.725 2.755
Cl Tc Ge P
1 1 1 2
Direct
0.000 0.000 0.500
0.000 0.000 0.000
0.500 0.500 0.500
0.000 0.500 0.000
0.500 0.000 0.000
```

Values from the calculation:
* V: 21.188 Å³ per atom
* E_form (uncorrected): 43 kJ/mol of atoms

***

(8)
# GeTeP2Cl

A geometry-optimized GeTeP2Cl structure (PBE, Alexandria).

Cell and atoms, written as POSCAR:
```
GeTeP2Cl
1.0
4.884 0.000 0.000
0.000 4.884 0.000
0.000 0.000 4.641
Ge P Te Cl
1 2 1 1
Direct
0.000 0.000 0.000
0.000 0.500 0.000
0.500 0.000 0.000
0.500 0.500 0.500
0.000 0.000 0.500
```

Values from the calculation:
* V: 22.141 Å³ per atom
* E_form (uncorrected): 53 kJ/mol of atoms

***

(9)
# GeTeP2Cl

A geometry-optimized GeTeP2Cl structure (PBE, Alexandria).

Cell and atoms, written as POSCAR:
```
GeTeP2Cl
1.0
5.109 0.000 0.000
0.000 5.109 0.000
0.000 0.000 5.119
P Te Ge Cl
2 1 1 1
Direct
0.000 0.500 0.000
0.500 0.000 0.000
0.000 0.000 0.000
0.500 0.500 0.500
0.000 0.000 0.500
```

Values from the calculation:
* V: 26.726 Å³ per atom
* E_form (uncorrected): 91 kJ/mol of atoms

***

(10)
# TiGePCl2

A geometry-optimized TiGePCl2 structure (PBE, Alexandria).

Cell and atoms, written as POSCAR:
```
TiGePCl2
1.0
4.650 0.000 0.000
0.000 4.650 0.000
0.000 0.000 5.077
Ge P Cl Ti
1 1 2 1
Direct
0.500 0.500 0.500
0.000 0.000 0.500
0.000 0.500 0.000
0.500 0.000 0.000
0.000 0.000 0.000
```

Values from the calculation:
* V: 21.949 Å³ per atom
* E_form (uncorrected): -29 kJ/mol of atoms

***

(11)
# TiGePCl2

A geometry-optimized TiGePCl2 structure (PBE, Alexandria).

Cell and atoms, written as POSCAR:
```
TiGePCl2
1.0
-3.185 -2.952 1.971
2.075 0.600 4.252
-3.037 3.898 0.931
Cl P Ti Ge
2 1 1 1
Direct
0.500 0.000 0.000
0.000 0.500 0.000
0.000 0.000 0.500
0.500 0.500 0.500
0.000 0.000 0.000
```

Values from the calculation:
* V: 22.874 Å³ per atom
* E_form (uncorrected): 34 kJ/mol of atoms

***

(12)
# TlGePCl2

A geometry-optimized TlGePCl2 structure (PBE, Alexandria).

Cell and atoms, written as POSCAR:
```
TlGePCl2
1.0
-2.377 -1.613 4.388
-3.869 -2.083 -2.862
2.670 -4.616 -0.250
Cl Ge P Tl
2 1 1 1
Direct
0.000 0.500 0.000
0.500 0.000 0.000
0.500 0.500 0.500
0.000 0.000 0.500
0.000 0.000 0.000
```

Values from the calculation:
* V: 29.363 Å³ per atom
* E_form (uncorrected): 43 kJ/mol of atoms

***

(13)
# TlGePCl2

A geometry-optimized TlGePCl2 structure (PBE, Alexandria).

Cell and atoms, written as POSCAR:
```
TlGePCl2
1.0
-2.504 -3.331 3.188
4.211 -3.129 0.038
1.721 2.363 3.821
Ge P Cl Tl
1 1 2 1
Direct
0.000 0.000 0.000
0.000 0.000 0.500
0.000 0.500 0.000
0.500 0.000 0.000
0.500 0.500 0.500
```

Values from the calculation:
* V: 26.490 Å³ per atom
* E_form (uncorrected): -16 kJ/mol of atoms

***

(14)
# VGeP2Cl

A geometry-optimized VGeP2Cl structure (PBE, Alexandria).

Cell and atoms, written as POSCAR:
```
VGeP2Cl
1.0
4.612 0.000 0.000
0.000 4.612 0.000
0.000 0.000 4.672
Cl P V Ge
1 2 1 1
Direct
0.000 0.000 0.500
0.000 0.500 0.000
0.500 0.000 0.000
0.000 0.000 0.000
0.500 0.500 0.500
```

Values from the calculation:
* V: 19.880 Å³ per atom
* E_form (uncorrected): 23 kJ/mol of atoms

***

(15)
# VGeP2Cl

A geometry-optimized VGeP2Cl structure (PBE, Alexandria).

Cell and atoms, written as POSCAR:
```
VGeP2Cl
1.0
4.699 0.000 0.000
0.000 4.699 0.000
0.000 0.000 4.718
P Ge V Cl
2 1 1 1
Direct
0.500 0.000 0.000
0.000 0.500 0.000
0.000 0.000 0.000
0.500 0.500 0.500
0.000 0.000 0.500
```

Values from the calculation:
* V: 20.833 Å³ per atom
* E_form (uncorrected): 96 kJ/mol of atoms

***

(16)
# YGePCl2

A geometry-optimized YGePCl2 structure (PBE, Alexandria).

Cell and atoms, written as POSCAR:
```
YGePCl2
1.0
4.829 0.000 0.000
0.000 4.829 0.000
0.000 0.000 5.106
Cl P Ge Y
2 1 1 1
Direct
0.500 0.000 0.000
0.000 0.500 0.000
0.000 0.000 0.500
0.000 0.000 0.000
0.500 0.500 0.500
```

Values from the calculation:
* V: 23.812 Å³ per atom
* E_form (uncorrected): -39 kJ/mol of atoms

***

(17)
# YGePCl2

A geometry-optimized YGePCl2 structure (PBE, Alexandria).

Cell and atoms, written as POSCAR:
```
YGePCl2
1.0
-1.318 4.357 -2.282
-4.168 -2.244 -1.877
-2.907 1.538 4.616
Y P Cl Ge
1 1 2 1
Direct
0.000 0.000 0.000
0.000 0.000 0.500
0.000 0.500 0.000
0.500 0.000 0.000
0.500 0.500 0.500
```

Values from the calculation:
* V: 29.400 Å³ per atom
* E_form (uncorrected): -54 kJ/mol of atoms

***

(18)
# ZnGeP2Cl

A geometry-optimized ZnGeP2Cl structure (PBE, Alexandria).

Cell and atoms, written as POSCAR:
```
ZnGeP2Cl
1.0
4.598 0.000 0.000
0.000 4.598 0.000
0.000 0.000 5.084
Zn Cl P Ge
1 1 2 1
Direct
0.000 0.000 0.000
0.000 0.000 0.500
0.500 0.000 0.000
0.000 0.500 0.000
0.500 0.500 0.500
```

Values from the calculation:
* V: 21.496 Å³ per atom
* E_form (uncorrected): 60 kJ/mol of atoms

***

(19)
# ZrGePCl2

A geometry-optimized ZrGePCl2 structure (PBE, Alexandria).

Cell and atoms, written as POSCAR:
```
ZrGePCl2
1.0
4.757 0.000 0.000
0.000 4.757 0.000
0.000 0.000 5.030
Cl Zr Ge P
2 1 1 1
Direct
0.000 0.500 0.000
0.500 0.000 0.000
0.500 0.500 0.500
0.000 0.000 0.000
0.000 0.000 0.500
```

Values from the calculation:
* V: 22.771 Å³ per atom
* E_form (uncorrected): 19 kJ/mol of atoms

***

(20)
# ZrGePCl2

A geometry-optimized ZrGePCl2 structure (PBE, Alexandria).

Cell and atoms, written as POSCAR:
```
ZrGePCl2
1.0
4.934 0.000 0.000
0.000 4.934 0.000
0.000 0.000 5.264
P Cl Zr Ge
1 2 1 1
Direct
0.000 0.000 0.500
0.000 0.500 0.000
0.500 0.000 0.000
0.000 0.000 0.000
0.500 0.500 0.500
```

Values from the calculation:
* V: 25.631 Å³ per atom
* E_form (uncorrected): -33 kJ/mol of atoms

***

(21)
# PaGe2Cl8

A geometry-optimized PaGe2Cl8 structure (PBE, Alexandria).

Cell and atoms, written as POSCAR:
```
PaGe2Cl8
1.0
7.911 0.925 0.769
1.122 7.611 0.346
1.122 1.732 7.419
Pa Ge Cl
1 2 8
Direct
0.000 0.000 0.000
0.641 0.848 0.848
0.359 0.152 0.152
0.253 0.806 0.806
0.189 0.273 0.893
0.801 0.665 0.665
0.199 0.335 0.335
0.811 0.727 0.107
0.811 0.107 0.727
0.189 0.893 0.273
0.747 0.194 0.194
```

Values from the calculation:
* V: 39.054 Å³ per atom
* E_form (uncorrected): -121 kJ/mol of atoms

***

(22)
# PaGeCl2

A geometry-optimized PaGeCl2 structure (PBE, Alexandria).

Cell and atoms, written as POSCAR:
```
PaGeCl2
1.0
-1.715 1.296 -2.579
-0.005 -1.566 -2.970
-8.739 -5.349 0.938
Cl Pa Ge
2 1 1
Direct
0.086 0.086 0.743
0.914 0.914 0.257
0.000 0.000 0.000
0.500 0.500 0.500
```

Values from the calculation:
* V: 24.662 Å³ per atom
* E_form (uncorrected): -34 kJ/mol of atoms

***

(23)
# Ge2PbCl2

A geometry-optimized Ge2PbCl2 structure (PBE, Alexandria).

Cell and atoms, written as POSCAR:
```
Ge2PbCl2
1.0
-2.106 -0.100 -2.993
2.262 -2.451 -1.509
-6.085 -9.811 2.371
Ge Pb Cl
2 1 2
Direct
0.250 0.750 0.500
0.750 0.250 0.500
0.000 0.000 0.000
0.428 0.428 0.143
0.572 0.572 0.857
```

Values from the calculation:
* V: 30.818 Å³ per atom
* E_form (uncorrected): -30 kJ/mol of atoms

***

(24)
# Ge2PbCl

A geometry-optimized Ge2PbCl structure (PBE, Alexandria).

Cell and atoms, written as POSCAR:
```
Ge2PbCl
1.0
0.000 3.593 3.593
3.593 0.000 3.593
3.593 3.593 0.000
Pb Ge Cl
1 2 1
Direct
0.500 0.500 0.500
0.750 0.750 0.750
0.250 0.250 0.250
0.000 0.000 0.000
```

Values from the calculation:
* V: 23.189 Å³ per atom
* E_form (uncorrected): 17 kJ/mol of atoms

***

(25)
# GePb5Cl12

A geometry-optimized GePb5Cl12 structure (PBE, Alexandria).

Cell and atoms, written as POSCAR:
```
GePb5Cl12
1.0
7.452 0.000 0.009
3.726 6.484 0.004
0.018 0.000 12.986
Cl Pb Ge
12 5 1
Direct
0.000 0.688 0.111
0.499 0.334 0.619
0.000 0.312 0.889
0.832 0.666 0.619
0.312 0.688 0.889
0.312 0.000 0.111
0.688 0.000 0.889
0.834 0.000 0.382
0.168 0.334 0.381
0.501 0.666 0.381
0.166 0.000 0.618
0.688 0.312 0.111
0.834 0.333 0.500
0.500 0.000 0.500
0.166 0.667 0.500
0.667 0.667 0.000
0.333 0.333 0.000
0.000 0.000 0.000
```

Values from the calculation:
* V: 34.856 Å³ per atom
* E_form (uncorrected): -103 kJ/mol of atoms

***

(26)
# Ge3PbCl8

A geometry-optimized Ge3PbCl8 structure (PBE, Alexandria).

Cell and atoms, written as POSCAR:
```
Ge3PbCl8
1.0
-1.560 5.294 0.046
-5.324 -1.635 7.631
8.773 -0.307 1.844
Cl Ge Pb
8 3 1
Direct
0.550 0.368 0.099
0.624 0.002 0.247
0.217 0.339 0.434
0.853 0.279 0.705
0.128 0.718 0.256
0.456 0.646 0.911
0.784 0.616 0.569
0.384 0.014 0.768
0.714 0.297 0.429
0.603 0.734 0.207
0.402 0.275 0.803
0.284 0.682 0.568
```

Values from the calculation:
* V: 34.016 Å³ per atom
* E_form (uncorrected): -81 kJ/mol of atoms

***

(27)
# Ge5PbCl12

A geometry-optimized Ge5PbCl12 structure (PBE, Alexandria).

Cell and atoms, written as POSCAR:
```
Ge5PbCl12
1.0
-5.766 -3.355 -1.927
-0.231 -6.941 0.266
-4.540 0.626 12.468
Pb Ge Cl
1 5 12
Direct
0.000 0.000 0.000
0.500 0.000 0.500
0.667 0.667 0.000
0.833 0.334 0.500
0.167 0.666 0.500
0.333 0.333 0.000
0.000 0.643 0.114
0.358 0.000 0.114
0.500 0.333 0.608
0.000 0.357 0.886
0.500 0.667 0.392
0.833 0.667 0.608
0.167 0.333 0.392
0.166 0.000 0.608
0.642 0.000 0.886
0.834 0.000 0.392
0.357 0.643 0.886
0.643 0.357 0.114
```

Values from the calculation:
* V: 30.854 Å³ per atom
* E_form (uncorrected): -79 kJ/mol of atoms

***

The calculation returns the following total moment values, one per record and in order: 0.0 0.0 1.4 0.6 2.5 3.5 0.0 0.0 0.0 0.2 0.1 0.3 1.0 0.0 0.2 0.0 0.1 0.5 1.4 0.7 1.0 0.9 0.0 0.0 0.0 0.0 0.0 μB/f.u..